1.
Computed, not measured: crystalline Tm6CuNi at its relaxed geometry at the PBE level of DFT.

Geometry as POSCAR:
```
Tm6CuNi
1.0
6.525 0.000 0.000
0.000 11.011 0.000
-2.379 0.000 6.048
Tm Cu Ni
12 2 2
Direct
0.242 0.181 0.246
0.242 0.819 0.246
0.245 0.000 0.758
0.255 0.500 0.242
0.258 0.319 0.754
0.258 0.681 0.754
0.742 0.319 0.246
0.742 0.681 0.246
0.745 0.500 0.758
0.755 0.000 0.242
0.758 0.181 0.754
0.758 0.819 0.754
0.000 0.500 0.500
0.500 0.000 0.500
0.000 0.000 0.000
0.500 0.500 0.000
```

Calculated values
The value obtained for the electronic total energy is -4.61 eV per atom. The formation energy from the elements comes out at -0.2 eV/f.u.

2.
Computed, not measured: crystalline TmCuNi2 at its relaxed geometry at the PBE level of DFT.

Geometry as POSCAR:
```
TmCuNi2
1.0
2.500 1.444 8.040
-2.500 1.444 8.040
0.000 -2.887 8.040
Tm Cu Ni
3 3 6
Direct
0.000 0.000 0.000
0.138 0.138 0.138
0.862 0.862 0.862
0.334 0.334 0.334
0.500 0.500 0.500
0.666 0.666 0.666
0.079 0.586 0.586
0.414 0.414 0.921
0.414 0.921 0.414
0.586 0.079 0.586
0.586 0.586 0.079
0.921 0.414 0.414
```

Calculated values
The value obtained for the electronic total energy is -5.44 eV per atom. The formation energy from the elements comes out at -1.6 eV/f.u.

3.
Computed, not measured: crystalline TmCu2Ni9 at its relaxed geometry at the PBE level of DFT.

Geometry as POSCAR:
```
TmCu2Ni9
1.0
2.380 1.374 7.705
-2.380 1.374 7.705
0.000 -2.748 7.705
Tm Cu Ni
1 2 9
Direct
0.000 0.000 0.000
0.147 0.147 0.147
0.853 0.853 0.853
0.081 0.589 0.589
0.334 0.334 0.334
0.411 0.411 0.919
0.411 0.919 0.411
0.500 0.500 0.500
0.589 0.081 0.589
0.589 0.589 0.081
0.666 0.666 0.666
0.919 0.411 0.411
```

Calculated values
The value obtained for the electronic total energy is -5.46 eV per atom. The energy relative to the lowest polymorph listed for this composition comes out at 65 meV/atom. The formation energy from the elements comes out at -0.9 eV/f.u.

4.
Computed, not measured: crystalline Tm2CuNi at its relaxed geometry at the PBE level of DFT.

Geometry as POSCAR:
```
Tm2CuNi
1.0
5.339 0.000 0.000
0.000 4.372 0.000
-2.448 0.000 6.802
Tm Cu Ni
4 2 2
Direct
0.217 0.250 0.432
0.226 0.250 0.929
0.774 0.750 0.071
0.783 0.750 0.568
0.349 0.750 0.214
0.651 0.250 0.786
0.354 0.750 0.714
0.646 0.250 0.286
```

Calculated values
The value obtained for the electronic total energy is -5.11 eV per atom. The formation energy from the elements comes out at -1.6 eV/f.u.

5.
Computed, not measured: crystalline Tm6CuNi2 at its relaxed geometry at the PBE level of DFT.

Geometry as POSCAR:
```
Tm6CuNi2
1.0
-4.605 4.637 4.823
4.605 -4.637 4.823
4.605 4.637 -4.823
Tm Cu Ni
12 2 4
Direct
0.056 0.244 0.812
0.178 0.274 0.452
0.178 0.726 0.904
0.326 0.019 0.692
0.326 0.634 0.308
0.432 0.244 0.188
0.568 0.756 0.812
0.674 0.366 0.692
0.674 0.981 0.308
0.822 0.274 0.096
0.822 0.726 0.548
0.944 0.756 0.188
0.000 0.000 0.000
0.500 0.500 0.000
0.120 0.620 0.500
0.342 0.000 0.342
0.658 0.000 0.658
0.880 0.380 0.500
```

Calculated values
The value obtained for the electronic total energy is -5.01 eV per atom. The formation energy from the elements comes out at -2.6 eV/f.u.

6.
Computed, not measured: crystalline Tm5Cu12Ni2 at its relaxed geometry at the PBE level of DFT.

Geometry as POSCAR:
```
Tm5Cu12Ni2
1.0
6.963 -3.393 0.000
6.963 3.393 0.000
-0.322 0.000 6.465
Tm Cu Ni
5 12 2
Direct
0.000 0.000 0.000
0.242 0.242 0.935
0.310 0.310 0.456
0.690 0.690 0.544
0.758 0.758 0.065
0.050 0.678 0.739
0.094 0.094 0.590
0.209 0.595 0.153
0.322 0.950 0.261
0.405 0.791 0.847
0.444 0.444 0.826
0.556 0.556 0.174
0.595 0.209 0.153
0.678 0.050 0.739
0.791 0.405 0.847
0.906 0.906 0.410
0.950 0.322 0.261
0.316 0.684 0.500
0.684 0.316 0.500
```

Calculated values
The value obtained for the electronic total energy is -4.52 eV per atom. The formation energy from the elements comes out at -2.8 eV/f.u.

7.
Computed, not measured: crystalline TmCu5Ni2 at its relaxed geometry at the PBE level of DFT.

Geometry as POSCAR:
```
TmCu5Ni2
1.0
3.706 0.000 0.000
0.000 7.131 0.000
0.000 0.000 8.525
Tm Cu Ni
2 10 4
Direct
0.000 0.000 0.000
0.500 0.500 0.500
0.000 0.179 0.347
0.000 0.179 0.653
0.000 0.500 0.000
0.000 0.821 0.347
0.000 0.821 0.653
0.500 0.000 0.500
0.500 0.321 0.153
0.500 0.321 0.847
0.500 0.679 0.153
0.500 0.679 0.847
0.000 0.500 0.275
0.000 0.500 0.725
0.500 0.000 0.225
0.500 0.000 0.775
```

Calculated values
The value obtained for the electronic total energy is -4.62 eV per atom. The formation energy from the elements comes out at -0.5 eV/f.u.

8.
Computed, not measured: crystalline TmCu3Ni at its relaxed geometry at the PBE level of DFT.

Geometry as POSCAR:
```
TmCu3Ni
1.0
2.574 -5.947 0.000
2.574 5.947 0.000
0.000 0.000 4.862
Tm Cu Ni
2 6 2
Direct
0.101 0.899 0.750
0.899 0.101 0.250
0.112 0.407 0.750
0.316 0.684 0.250
0.407 0.112 0.250
0.593 0.888 0.750
0.684 0.316 0.750
0.888 0.593 0.250
0.500 0.500 0.000
0.500 0.500 0.500
```

Calculated values
The value obtained for the electronic total energy is -4.70 eV per atom. The energy relative to the lowest polymorph listed for this composition comes out at 0 meV/atom. The formation energy from the elements comes out at -1.0 eV/f.u.

9.
Computed, not measured: crystalline TmCu6Ni6 at its relaxed geometry at the PBE level of DFT.

Geometry as POSCAR:
```
TmCu6Ni6
1.0
-2.380 4.138 4.146
2.380 -4.138 4.146
2.380 4.138 -4.146
Tm Cu Ni
1 6 6
Direct
0.000 0.000 0.000
0.216 0.500 0.716
0.350 0.350 0.000
0.353 0.000 0.353
0.647 0.000 0.647
0.650 0.650 0.000
0.784 0.500 0.284
0.000 0.000 0.500
0.000 0.500 0.000
0.221 0.721 0.500
0.500 0.000 0.000
0.500 0.500 0.500
0.779 0.279 0.500
```

Calculated values
The value obtained for the electronic total energy is -5.03 eV per atom. The formation energy from the elements comes out at -1.7 eV/f.u.

10.
Computed, not measured: crystalline TmCuNi5 at its relaxed geometry at the PBE level of DFT.

Geometry as POSCAR:
```
TmCuNi5
1.0
7.779 0.000 0.000
0.000 4.790 0.000
0.000 0.000 9.848
Tm Cu Ni
4 4 20
Direct
0.242 0.250 0.061
0.258 0.750 0.561
0.742 0.250 0.439
0.758 0.750 0.939
0.141 0.750 0.855
0.359 0.250 0.355
0.641 0.750 0.645
0.859 0.250 0.145
0.058 0.750 0.095
0.068 0.005 0.310
0.068 0.495 0.310
0.101 0.250 0.519
0.184 0.250 0.754
0.316 0.750 0.254
0.399 0.750 0.019
0.432 0.505 0.810
0.432 0.995 0.810
0.442 0.250 0.595
0.558 0.750 0.405
0.568 0.005 0.190
0.568 0.495 0.190
0.601 0.250 0.981
0.684 0.250 0.746
0.816 0.750 0.246
0.899 0.750 0.481
0.932 0.505 0.690
0.932 0.995 0.690
0.942 0.250 0.905
```

Calculated values
The value obtained for the electronic total energy is -5.59 eV per atom. The formation energy from the elements comes out at -1.7 eV/f.u.

11.
Computed, not measured: crystalline Tm6Cu2Ni at its relaxed geometry at the PBE level of DFT.

Geometry as POSCAR:
```
Tm6Cu2Ni
1.0
-4.666 4.713 4.749
4.666 -4.713 4.749
4.666 4.713 -4.749
Tm Cu Ni
12 4 2
Direct
0.031 0.205 0.827
0.258 0.316 0.574
0.258 0.582 0.325
0.258 0.684 0.942
0.258 0.933 0.675
0.378 0.205 0.173
0.622 0.795 0.827
0.742 0.067 0.325
0.742 0.316 0.058
0.742 0.418 0.675
0.742 0.684 0.426
0.969 0.795 0.173
0.000 0.148 0.148
0.000 0.852 0.852
0.378 0.000 0.378
0.622 0.000 0.622
0.000 0.500 0.500
0.500 0.500 0.000
```

Calculated values
The value obtained for the electronic total energy is -4.73 eV per atom. The formation energy from the elements comes out at -1.7 eV/f.u.

12.
Computed, not measured: crystalline Tm2CuNi at its relaxed geometry at the PBE level of DFT.

Geometry as POSCAR:
```
Tm2CuNi
1.0
3.364 0.000 0.000
0.000 3.364 0.000
0.000 0.000 6.786
Tm Cu Ni
2 1 1
Direct
0.000 0.000 0.243
0.000 0.000 0.757
0.500 0.500 0.500
0.500 0.500 0.000
```

Calculated values
The value obtained for the electronic total energy is -5.08 eV per atom. The formation energy from the elements comes out at -1.5 eV/f.u.

13.
Computed, not measured: crystalline Tm3Cu2Ni7 at its relaxed geometry at the PBE level of DFT.

Geometry as POSCAR:
```
Tm3Cu2Ni7
1.0
2.486 1.435 8.044
-2.486 1.435 8.044
0.000 -2.870 8.044
Tm Cu Ni
3 2 7
Direct
0.000 0.000 0.000
0.139 0.139 0.139
0.861 0.861 0.861
0.334 0.334 0.334
0.666 0.666 0.666
0.081 0.585 0.585
0.415 0.415 0.919
0.415 0.919 0.415
0.500 0.500 0.500
0.585 0.081 0.585
0.585 0.585 0.081
0.919 0.415 0.415
```

Calculated values
The value obtained for the electronic total energy is -5.60 eV per atom. The formation energy from the elements comes out at -5.2 eV/f.u.

14.
Computed, not measured: crystalline Tm8CuNi2 at its relaxed geometry at the PBE level of DFT.

Geometry as POSCAR:
```
Tm8CuNi2
1.0
8.501 -2.457 0.000
8.501 2.457 0.000
-1.803 0.000 6.312
Tm Cu Ni
8 1 2
Direct
0.036 0.036 0.283
0.202 0.202 0.830
0.328 0.328 0.518
0.407 0.407 0.038
0.593 0.593 0.962
0.672 0.672 0.482
0.798 0.798 0.170
0.964 0.964 0.717
0.500 0.500 0.500
0.186 0.186 0.223
0.814 0.814 0.777
```

Calculated values
The value obtained for the electronic total energy is -4.88 eV per atom. The energy relative to the lowest polymorph listed for this composition comes out at 0 meV/atom. The formation energy from the elements comes out at -2.3 eV/f.u.

15.
Computed, not measured: crystalline Tm8CuNi2 at its relaxed geometry at the PBE level of DFT.

Geometry as POSCAR:
```
Tm8CuNi2
1.0
4.080 -6.194 0.000
4.080 6.194 0.000
-1.704 0.000 5.482
Tm Cu Ni
8 1 2
Direct
0.000 0.000 0.000
0.029 0.291 0.581
0.142 0.590 0.185
0.291 0.029 0.581
0.445 0.707 0.777
0.590 0.142 0.185
0.707 0.445 0.777
0.735 0.735 0.370
0.366 0.366 0.336
0.059 0.678 0.683
0.678 0.059 0.683
```

Calculated values
The value obtained for the electronic total energy is -4.78 eV per atom. The energy relative to the lowest polymorph listed for this composition comes out at 101 meV/atom. The formation energy from the elements comes out at -1.1 eV/f.u.

16.
Computed, not measured: crystalline TmCu7Ni5 at its relaxed geometry at the PBE level of DFT.

Geometry as POSCAR:
```
TmCu7Ni5
1.0
-2.396 4.146 4.147
2.396 -4.146 4.147
2.396 4.146 -4.147
Tm Cu Ni
1 7 5
Direct
0.000 0.000 0.000
0.213 0.495 0.719
0.345 0.994 0.352
0.347 0.347 0.000
0.642 0.994 0.648
0.647 0.647 0.000
0.773 0.273 0.500
0.776 0.495 0.281
0.215 0.715 0.500
0.492 0.494 0.498
0.492 0.995 0.998
0.997 0.494 0.002
0.997 0.995 0.502
```

Calculated values
The value obtained for the electronic total energy is -4.90 eV per atom. The formation energy from the elements comes out at -1.6 eV/f.u.

17.
Computed, not measured: crystalline Tm2Cu15Ni2 at its relaxed geometry at the PBE level of DFT.

Geometry as POSCAR:
```
Tm2Cu15Ni2
1.0
4.234 2.445 4.136
-4.234 2.445 4.136
0.000 -4.889 4.136
Tm Cu Ni
2 15 2
Direct
0.167 0.167 0.167
0.833 0.833 0.833
0.000 0.500 0.500
0.152 0.152 0.653
0.152 0.653 0.152
0.205 0.500 0.795
0.205 0.795 0.500
0.347 0.848 0.848
0.500 0.000 0.500
0.500 0.205 0.795
0.500 0.500 0.000
0.500 0.795 0.205
0.653 0.152 0.152
0.795 0.205 0.500
0.795 0.500 0.205
0.848 0.347 0.848
0.848 0.848 0.347
0.402 0.402 0.402
0.598 0.598 0.598
```

Calculated values
The value obtained for the electronic total energy is -4.44 eV per atom. The formation energy from the elements comes out at -2.3 eV/f.u.

18.
Computed, not measured: crystalline Tm3CuNi at its relaxed geometry at the PBE level of DFT.

Geometry as POSCAR:
```
Tm3CuNi
1.0
3.905 0.000 0.000
0.000 6.894 0.000
0.000 0.000 8.596
Tm Cu Ni
6 2 2
Direct
0.250 0.006 0.171
0.250 0.250 0.557
0.250 0.494 0.171
0.750 0.506 0.829
0.750 0.750 0.443
0.750 0.994 0.829
0.250 0.750 0.673
0.750 0.250 0.327
0.250 0.250 0.902
0.750 0.750 0.098
```

Calculated values
The value obtained for the electronic total energy is -4.86 eV per atom. The energy relative to the lowest polymorph listed for this composition comes out at 55 meV/atom. The formation energy from the elements comes out at -1.0 eV/f.u.

19.
Computed, not measured: crystalline TmCuNi2 at its relaxed geometry at the PBE level of DFT.

Geometry as POSCAR:
```
TmCuNi2
1.0
4.083 0.000 0.000
-2.042 3.536 0.000
0.000 0.000 13.060
Tm Cu Ni
3 3 6
Direct
0.000 0.000 0.000
0.333 0.667 0.667
0.667 0.333 0.333
0.000 0.000 0.500
0.333 0.667 0.167
0.667 0.333 0.833
0.000 0.000 0.203
0.000 0.000 0.797
0.333 0.667 0.464
0.333 0.667 0.869
0.667 0.333 0.131
0.667 0.333 0.536
```

Calculated values
The value obtained for the electronic total energy is -5.33 eV per atom. The formation energy from the elements comes out at -1.2 eV/f.u.

20.
Computed, not measured: crystalline TmCuNi2 at its relaxed geometry at the PBE level of DFT.

Geometry as POSCAR:
```
TmCuNi2
1.0
5.065 0.000 0.000
0.000 4.663 0.000
0.000 0.000 11.355
Tm Cu Ni
4 4 8
Direct
0.250 0.000 0.102
0.250 0.500 0.396
0.750 0.000 0.898
0.750 0.500 0.604
0.250 0.000 0.834
0.250 0.500 0.824
0.750 0.000 0.166
0.750 0.500 0.176
0.000 0.000 0.500
0.000 0.500 0.000
0.250 0.250 0.643
0.250 0.750 0.643
0.500 0.000 0.500
0.500 0.500 0.000
0.750 0.250 0.357
0.750 0.750 0.357
```

Calculated values
The value obtained for the electronic total energy is -5.14 eV per atom. The formation energy from the elements comes out at -0.4 eV/f.u.